No. 1
RbPuBr3 PBE optimized geometry; density of states at the Fermi level = 15.704 states/eV/f.u.; formation energy without anion corrections = -1543.4 meV per atom; calculated volume = 38.8 Å³ per atom; symmetry = P6_3cm
1.0
6.9473 -12.0331 0.0000
6.9473 12.0331 0.0000
0.0000 0.0000 6.9537
Rb Pu Br
6 6 18
Direct
0.0000 0.6645 0.6812
0.6645 0.6645 0.1812
0.3355 0.0000 0.1812
0.6645 0.0000 0.6812
0.3355 0.3355 0.6812
0.0000 0.3355 0.1812
0.0000 0.0000 0.0463
0.0000 0.0000 0.5463
0.6667 0.3333 0.8371
0.3333 0.6667 0.3371
0.6667 0.3333 0.3371
0.3333 0.6667 0.8371
0.8375 0.3265 0.5864
0.4889 0.1625 0.5864
0.6735 0.5111 0.5864
0.3265 0.4889 0.0864
0.1625 0.6735 0.0864
0.5111 0.8375 0.0864
0.6735 0.1625 0.0864
0.1625 0.4889 0.5864
0.5111 0.6735 0.5864
0.4889 0.3265 0.0864
0.8375 0.5111 0.0864
0.3265 0.8375 0.5864
0.1745 0.0000 0.7971
0.0000 0.8255 0.2971
0.1745 0.1745 0.2971
0.8255 0.8255 0.7971
0.0000 0.1745 0.7971
0.8255 0.0000 0.2971



No. 2
RbPuBr3 PBE optimized geometry; density of states at the Fermi level = 16.322 states/eV/f.u.; formation energy without anion corrections = -1502.9 meV per atom; calculated volume = 40.4 Å³ per atom; symmetry = Pm-3m
1.0
5.8685 0.0000 0.0000
0.0000 5.8685 0.0000
0.0000 0.0000 5.8685
Br Rb Pu
3 1 1
Direct
0.0000 0.5000 0.0000
0.0000 0.0000 0.5000
0.5000 0.0000 0.0000
0.5000 0.5000 0.5000
0.0000 0.0000 0.0000



No. 3
Rb5Pu2Br12 PBE optimized geometry; density of states at the Fermi level = 27.029 states/eV/f.u.; formation energy without anion corrections = -1548.7 meV per atom; calculated volume = 45.0 Å³ per atom; symmetry = C2/m
1.0
-6.1672 5.9112 1.5851
-0.2247 -4.0057 -9.7480
-4.9459 -7.0008 6.8645
Rb Pu Br
5 2 12
Direct
0.2859 0.5717 0.6102
0.3159 0.6318 0.1908
0.0000 0.0000 0.5000
0.6841 0.3682 0.8092
0.7141 0.4283 0.3898
0.7497 0.0000 0.0000
0.2503 0.0000 0.0000
0.0156 0.0311 0.1795
0.1055 0.6950 0.9365
0.5895 0.6950 0.9365
0.1085 0.7116 0.4374
0.6032 0.7116 0.4374
0.4882 0.9765 0.8182
0.5118 0.0235 0.1818
0.8915 0.2884 0.5626
0.3968 0.2884 0.5626
0.8945 0.3050 0.0635
0.4105 0.3050 0.0635
0.9844 0.9689 0.8205



No. 4
Rb2PuBr4 PBE optimized geometry; density of states at the Fermi level = 16.781 states/eV/f.u.; formation energy without anion corrections = -1584.8 meV per atom; calculated volume = 38.5 Å³ per atom; symmetry = C2/m
1.0
-0.5281 -1.0341 4.2988
3.4690 -5.9234 -3.3049
5.4531 7.2528 2.4145
Br Rb Pu
4 2 1
Direct
0.9434 0.8867 0.6506
0.0566 0.1133 0.3494
0.6545 0.3089 0.0648
0.3455 0.6911 0.9352
0.6499 0.2997 0.6797
0.3501 0.7003 0.3203
0.0000 0.0000 0.0000



No. 5
RbPu5Br12 PBE optimized geometry; density of states at the Fermi level = 60.672 states/eV/f.u.; formation energy without anion corrections = -1505.3 meV per atom; calculated volume = 39.0 Å³ per atom; symmetry = C2/m
1.0
7.6169 0.0000 -0.0070
3.8084 6.6217 -0.0035
-0.0192 0.0000 13.9225
Rb Pu Br
1 5 12
Direct
0.0000 0.0000 0.0000
0.5000 0.0000 0.5000
0.1666 0.6668 0.5000
0.8334 0.3332 0.5000
0.6666 0.6668 0.0000
0.3334 0.3332 0.0000
0.8336 0.0000 0.3851
0.1664 0.0000 0.6149
0.6171 0.0000 0.8756
0.3829 0.0000 0.1244
0.3803 0.6189 0.8761
0.0008 0.6189 0.1239
0.9992 0.3811 0.8761
0.6197 0.3811 0.1239
0.5003 0.3330 0.6140
0.8333 0.6670 0.6140
0.1667 0.3330 0.3860
0.4997 0.6670 0.3860



No. 6
RbPu2Br8 PBE optimized geometry; density of states at the Fermi level = 24.202 states/eV/f.u.; formation energy without anion corrections = -1349.4 meV per atom; calculated volume = 46.4 Å³ per atom; symmetry = P-3m1
1.0
5.6865 0.0000 0.0000
0.0000 10.1804 0.0000
0.0000 -5.0902 8.8165
Rb Pu Br
1 2 8
Direct
0.5000 0.0000 0.0000
0.7667 0.6667 0.3333
0.2333 0.3333 0.6667
0.7313 0.3333 0.6667
0.2687 0.6667 0.3333
0.2282 0.1799 0.3598
0.7718 0.8201 0.6402
0.7718 0.3598 0.1799
0.2282 0.6402 0.8201
0.2282 0.1799 0.8201
0.7718 0.8201 0.1799



No. 7
RbPuBr4 PBE optimized geometry; density of states at the Fermi level = 9.838 states/eV/f.u.; formation energy without anion corrections = -1504.1 meV per atom; calculated volume = 34.9 Å³ per atom; symmetry = P4/mbm
1.0
-2.1798 -1.4757 6.4857
6.6500 -0.5023 2.1207
0.0211 8.3332 1.9079
Rb Pu Br
2 2 8
Direct
0.0000 0.0000 0.5000
0.5000 0.5000 0.5000
0.5000 0.5000 0.0000
0.0000 0.0000 0.0000
0.2953 0.7951 0.7966
0.7953 0.7049 0.7966
0.7046 0.2050 0.7966
0.7954 0.7050 0.2034
0.2046 0.2950 0.7966
0.2954 0.7950 0.2034
0.2047 0.2951 0.2034
0.7047 0.2049 0.2034



No. 8
RbPu4Br8 PBE optimized geometry; density of states at the Fermi level = 44.057 states/eV/f.u.; formation energy without anion corrections = -1396.8 meV per atom; calculated volume = 38.1 Å³ per atom; symmetry = P6_3/mmc
1.0
7.9209 0.0000 0.0000
-3.9604 6.8597 0.0000
0.0000 0.0000 18.2208
Rb Pu Br
2 8 16
Direct
0.0000 0.0000 0.0000
0.0000 0.0000 0.5000
0.4953 0.9906 0.2500
0.5047 0.4953 0.7500
0.9906 0.4953 0.7500
0.0094 0.5047 0.2500
0.4953 0.5047 0.2500
0.5047 0.0094 0.7500
0.0000 0.0000 0.2500
0.0000 0.0000 0.7500
0.1682 0.3364 0.8564
0.6636 0.8318 0.8564
0.1682 0.8318 0.8564
0.8318 0.1682 0.3564
0.3364 0.1682 0.1436
0.8318 0.6636 0.3564
0.3364 0.1682 0.3564
0.1682 0.3364 0.6436
0.1682 0.8318 0.6436
0.8318 0.1682 0.1436
0.6667 0.3333 0.6402
0.3333 0.6667 0.1402
0.3333 0.6667 0.3598
0.6667 0.3333 0.8598
0.6636 0.8318 0.6436
0.8318 0.6636 0.1436



No. 9
Rb3Pu5Br12 PBE optimized geometry; density of states at the Fermi level = 88.549 states/eV/f.u.; formation energy without anion corrections = -1358.4 meV per atom; calculated volume = 41.2 Å³ per atom; symmetry = Ia-3d
1.0
-8.7830 -13.6557 0.3234
14.5770 -2.7819 6.5952
-7.6518 11.5593 8.4592
Br Rb Pu
48 12 20
Direct
0.7069 0.1188 0.0324
0.3255 0.5324 0.4136
0.9676 0.3812 0.2931
0.5324 0.2069 0.1188
0.5881 0.7069 0.6745
0.9676 0.5864 0.1745
0.3255 0.7931 0.4119
0.0864 0.9119 0.1188
0.5864 0.9676 0.6745
0.7069 0.5881 0.1745
0.7931 0.4676 0.3812
0.8255 0.9136 0.0324
0.1188 0.7069 0.5324
0.3812 0.4136 0.0881
0.0881 0.9136 0.3812
0.4119 0.1188 0.5864
0.0881 0.1745 0.2069
0.4676 0.6745 0.0864
0.8255 0.9119 0.2931
0.1188 0.4119 0.0864
0.3812 0.9676 0.7931
0.5864 0.6188 0.4119
0.9136 0.8255 0.5324
0.7931 0.3255 0.9119
0.4136 0.3812 0.5881
0.0864 0.1745 0.4676
0.2069 0.6745 0.0881
0.1745 0.0881 0.7069
0.6188 0.0324 0.2069
0.8812 0.5881 0.9136
0.5324 0.3255 0.9136
0.5881 0.8812 0.4136
0.9119 0.8255 0.7931
0.9119 0.0864 0.6188
0.8812 0.2931 0.4676
0.1745 0.0864 0.9676
0.6188 0.5864 0.9119
0.4136 0.0324 0.3255
0.2931 0.4119 0.8255
0.2069 0.5324 0.6188
0.9136 0.0881 0.8812
0.6745 0.2069 0.5881
0.4676 0.7931 0.8812
0.0324 0.4136 0.8255
0.4119 0.2931 0.3255
0.0324 0.6188 0.7069
0.6745 0.4676 0.5864
0.2931 0.8812 0.9676
0.7500 0.3750 0.1250
0.8750 0.7500 0.1250
0.3750 0.7500 0.6250
0.2500 0.1250 0.3750
0.8750 0.1250 0.2500
0.3750 0.6250 0.2500
0.6250 0.3750 0.7500
0.1250 0.8750 0.7500
0.7500 0.8750 0.6250
0.6250 0.2500 0.3750
0.1250 0.2500 0.8750
0.2500 0.6250 0.8750
0.1250 0.3750 0.2500
0.0000 0.5000 0.0000
0.0000 0.0000 0.0000
0.3750 0.2500 0.1250
0.5000 0.0000 0.5000
0.5000 0.5000 0.0000
0.1250 0.7500 0.3750
0.7500 0.1250 0.8750
0.7500 0.6250 0.3750
0.3750 0.1250 0.7500
0.6250 0.8750 0.2500
0.5000 0.5000 0.5000
0.5000 0.0000 0.0000
0.0000 0.0000 0.5000
0.2500 0.3750 0.6250
0.2500 0.8750 0.1250
0.0000 0.5000 0.5000
0.8750 0.2500 0.6250
0.6250 0.7500 0.8750
0.8750 0.6250 0.7500



No. 10
RbPu3Br8 PBE optimized geometry; density of states at the Fermi level = 42.307 states/eV/f.u.; formation energy without anion corrections = -1522.9 meV per atom; calculated volume = 40.3 Å³ per atom; symmetry = C2/m
1.0
9.1385 0.0000 0.0000
-4.5693 6.5426 -4.5607
0.0000 -0.6147 8.5160
Rb Pu Br
1 3 8
Direct
0.0000 0.0000 0.0000
0.5000 0.0000 0.0000
0.5000 0.5000 0.0000
0.0000 0.5000 0.0000
0.2541 0.5082 0.7647
0.7459 0.4918 0.2354
0.2884 0.0246 0.7621
0.7362 0.0246 0.7621
0.7363 0.4725 0.7640
0.2637 0.5275 0.2360
0.2638 0.9754 0.2379
0.7116 0.9754 0.2379



No. 11
RbPu3Br7 PBE optimized geometry; density of states at the Fermi level = 50.946 states/eV/f.u.; formation energy without anion corrections = -1417.4 meV per atom; calculated volume = 34.2 Å³ per atom; symmetry = C2/m
1.0
-3.8547 -5.9000 -1.8365
5.9693 -0.6191 -4.5237
2.6726 -2.4727 6.3075
Rb Pu Br
1 3 7
Direct
0.5000 0.5000 0.5000
0.2279 0.0000 0.7721
0.0000 0.5000 0.0000
0.7721 0.0000 0.2279
0.8496 0.7891 0.8496
0.9730 0.7287 0.3823
0.6177 0.2713 0.0270
0.3823 0.7287 0.9730
0.5000 0.0000 0.5000
0.0270 0.2713 0.6177
0.1504 0.2109 0.1504



No. 12
Rb4PuBr7 PBE optimized geometry; density of states at the Fermi level = 10.020 states/eV/f.u.; formation energy without anion corrections = -1638.1 meV per atom; calculated volume = 45.4 Å³ per atom; symmetry = C2/m
1.0
-0.6992 2.1083 -5.2595
7.3633 2.1572 -0.1141
-0.3227 -13.1809 -2.1419
Rb Pu Br
4 1 7
Direct
0.4129 0.4774 0.8258
0.5871 0.5226 0.1742
0.2902 0.8039 0.5803
0.7098 0.1961 0.4197
0.0000 0.0000 0.0000
0.1052 0.2679 0.2104
0.8948 0.7321 0.7896
0.9443 0.2644 0.8885
0.0557 0.7356 0.1115
0.7174 0.7343 0.4348
0.5000 0.0000 0.0000
0.2826 0.2657 0.5652



No. 13
Rb3Pu2Br7 PBE optimized geometry; density of states at the Fermi level = 33.686 states/eV/f.u.; formation energy without anion corrections = -1543.3 meV per atom; calculated volume = 41.4 Å³ per atom; symmetry = I4/mmm
1.0
5.8535 0.0000 0.0000
0.0000 5.8535 0.0000
-2.9268 -2.9268 14.5028
Rb Pu Br
3 2 7
Direct
0.3201 0.3201 0.6403
0.6799 0.6799 0.3597
0.5000 0.5000 0.0000
0.1027 0.1027 0.2053
0.8973 0.8973 0.7947
0.0000 0.0000 0.0000
0.9026 0.4026 0.8051
0.4026 0.9026 0.8051
0.0974 0.5974 0.1949
0.5974 0.0974 0.1949
0.2034 0.2034 0.4068
0.7966 0.7966 0.5932



No. 14
Rb3PuBr8 PBE optimized geometry; density of states at the Fermi level = 16.164 states/eV/f.u.; formation energy without anion corrections = -1334.4 meV per atom; calculated volume = 39.6 Å³ per atom; symmetry = I4/mmm
1.0
7.8589 0.0000 0.0000
0.0000 7.8589 0.0000
-3.9295 -3.9295 7.6987
Rb Pu Br
3 1 8
Direct
0.7500 0.2500 0.5000
0.5000 0.5000 0.0000
0.2500 0.7500 0.5000
0.0000 0.0000 0.0000
0.3276 0.3276 0.2209
0.3276 0.8933 0.2209
0.1067 0.6724 0.7791
0.1067 0.1067 0.7791
0.8933 0.8933 0.2209
0.8933 0.3276 0.2209
0.6724 0.1067 0.7791
0.6724 0.6724 0.7791



No. 15
Rb3Pu2Br8 PBE optimized geometry; density of states at the Fermi level = 29.068 states/eV/f.u.; formation energy without anion corrections = -1600.9 meV per atom; calculated volume = 45.6 Å³ per atom; symmetry = C2/m
1.0
7.8006 -0.0947 2.2213
1.2034 8.0507 4.9891
-0.1868 0.3031 9.5408
Rb Pu Br
3 2 8
Direct
0.5000 0.0000 0.0000
0.0000 0.2614 0.7386
0.0000 0.7386 0.2614
0.9794 0.2510 0.2510
0.0206 0.7490 0.7490
0.7942 0.6456 0.6456
0.2058 0.3544 0.3544
0.7764 0.1308 0.1308
0.2236 0.8692 0.8692
0.7933 0.6098 0.0867
0.7933 0.0867 0.6098
0.2067 0.9133 0.3902
0.2067 0.3902 0.9133



No. 16
RbPuBr4 PBE optimized geometry; density of states at the Fermi level = 9.233 states/eV/f.u.; formation energy without anion corrections = -1563.9 meV per atom; calculated volume = 37.6 Å³ per atom; symmetry = C2/c
1.0
-6.3995 -3.2256 0.0539
4.1962 -3.8663 -6.7817
3.7127 -1.5588 7.8898
Rb Pu Br
2 2 8
Direct
0.3870 0.6370 0.2740
0.6130 0.3630 0.7260
0.2353 0.9853 0.9706
0.7647 0.0147 0.0294
0.0125 0.2056 0.8818
0.8031 0.7426 0.6871
0.3693 0.6762 0.8818
0.3840 0.9445 0.6871
0.6160 0.0555 0.3129
0.6307 0.3238 0.1182
0.1969 0.2574 0.3129
0.9875 0.7944 0.1182